{
  "formula": "Sm2Dy3Rh2",
  "functional": "PBE",
  "state": "optimized geometry",
  "lattice_angstrom": [[-3.5818, 1.0606, -0.6368], [0.5008, -6.1191, -1.7330], [-1.1580, 1.3911, 8.8294]],
  "species": ["Sm", "Sm", "Dy", "Dy", "Dy", "Rh", "Rh"],
  "fractional_positions": [[0.8347, 0.6694, 0.1925], [0.1653, 0.3306, 0.8075], [0.5000, 0.0000, 0.0000], [0.6166, 0.2331, 0.4299], [0.3834, 0.7669, 0.5701], [0.8260, 0.6520, 0.7577], [0.1740, 0.3480, 0.2423]],
  "n_ef_per_ev_fu": 7.71,
  "sg": "C2/m (12)",
  "formation_enthalpy_0k_ev_per_atom": -0.559,
  "volume_a3_per_atom": 26.63
}